! KCr2PdO8 (GGA+U, relaxed); values from VASP
&SYSTEM
  ibrav = 0, nat = 12, ntyp = 4
/
ATOMIC_SPECIES
K 39.10 K.upf
Cr 52.00 Cr.upf
Pd 106.42 Pd.upf
O 16.00 O.upf
CELL_PARAMETERS angstrom
5.1599 0.0000 0.0000
-2.5800 4.4686 0.0000
0.0000 0.0000 8.0139
ATOMIC_POSITIONS angstrom
K 0.0000 0.0000 0.0000
Cr 2.5800 1.4895 2.2469
Cr 0.0000 2.9791 5.7670
Pd 0.0000 0.0000 4.0070
O 0.0000 2.9791 7.3978
O 0.9793 1.3110 2.7680
O 3.5349 0.1926 2.7680
O 2.5800 1.4895 0.6161
O -0.9549 4.2760 5.2459
O 1.6006 3.1576 5.2459
O -0.6457 1.5037 5.2459
O 3.2257 2.9650 2.7680
! - total energy (Ha/atom) = -0.227